--- i ---
Material: ScMo2Au
Method: DFT, PBE
State: optimized geometry

Unit cell a=7.6779 b=7.6779 c=5.2005 alpha=90.00 beta=90.00 gamma=90.00
Fractional positions:
Sc  0.0000  0.0000  0.0000
Sc  0.0000  0.5000  0.2500
Sc  0.5000  0.0000  0.7500
Sc  0.5000  0.5000  0.5000
Mo  0.2264  0.2500  0.6250
Mo  0.2500  0.7264  0.8750
Mo  0.2500  0.7736  0.3750
Mo  0.2736  0.2500  0.1250
Mo  0.7264  0.7500  0.1250
Mo  0.7500  0.2264  0.3750
Mo  0.7500  0.2736  0.8750
Mo  0.7736  0.7500  0.6250
Au  0.0000  0.0000  0.5000
Au  0.0000  0.5000  0.7500
Au  0.5000  0.0000  0.2500
Au  0.5000  0.5000  0.0000

## Properties
As for the space group: I-42d (122). The size of the total moment is 0.00 Bohr magnetons per cell.

=====

--- ii ---
Material: ScMo2Au
Method: DFT, PBE
State: optimized geometry

Unit cell a=2.9046 b=4.1952 c=5.8709 alpha=90.00 beta=99.14 gamma=90.00
Fractional positions:
Sc  0.0000  0.0000  0.0000
Mo  0.1898  0.0000  0.5281
Mo  0.5359  0.5000  0.7269
Au  0.5805  0.5000  0.2391

## Properties
As for the space group: Pm (6). The size of the total moment is 0.00 Bohr magnetons per cell.

=====

--- iii ---
Material: ScMo2Au
Method: DFT, PBE
State: optimized geometry

Unit cell a=3.5082 b=4.2491 c=9.3119 alpha=90.00 beta=90.00 gamma=90.00
Fractional positions:
Sc  0.0000  0.0000  0.0000
Sc  0.5000  0.5000  0.5000
Mo  0.0000  0.5000  0.2550
Mo  0.0000  0.5000  0.7450
Mo  0.5000  0.0000  0.2450
Mo  0.5000  0.0000  0.7550
Au  0.0000  0.0000  0.5000
Au  0.5000  0.5000  0.0000

## Properties
As for the space group: Immm (71). The size of the total moment is 0.00 Bohr magnetons per cell.

=====

It is i that is the least stable of them.

=====

--- i ---
Material: ScMo3Au
Method: DFT, PBE
State: optimized geometry

Unit cell a=4.5728 b=4.5728 c=4.5728 alpha=90.00 beta=90.00 gamma=90.00
Fractional positions:
Sc  0.0000  0.0000  0.0000
Mo  0.0000  0.0000  0.5000
Mo  0.0000  0.5000  0.0000
Mo  0.5000  0.0000  0.0000
Au  0.5000  0.5000  0.5000

## Properties
As for the space group: Pm-3m (221). The size of the total moment is 0.00 Bohr magnetons per cell.

=====

--- ii ---
Material: ScMo3Au
Method: DFT, PBE
State: optimized geometry

Unit cell a=4.8705 b=4.8705 c=4.8705 alpha=90.00 beta=90.00 gamma=90.00
Fractional positions:
Sc  0.0000  0.0000  0.0000
Mo  0.0000  0.5000  0.5000
Mo  0.5000  0.0000  0.5000
Mo  0.5000  0.5000  0.0000
Au  0.5000  0.5000  0.5000

## Properties
As for the space group: Pm-3m (221). The size of the total moment is 0.00 Bohr magnetons per cell.

=====

It is ii that is the least stable of them.

=====

--- i ---
Material: MoAu3Se
Method: DFT, PBE
State: optimized geometry

Unit cell a=5.0420 b=5.0420 c=5.0420 alpha=90.00 beta=90.00 gamma=90.00
Fractional positions:
Mo  0.0000  0.0000  0.0000
Au  0.0000  0.0000  0.5000
Au  0.0000  0.5000  0.0000
Au  0.5000  0.0000  0.0000
Se  0.5000  0.5000  0.5000

## Properties
As for the space group: Pm-3m (221). The size of the total moment is 0.00 Bohr magnetons per cell.

=====

--- ii ---
Material: MoAu3Se
Method: DFT, PBE
State: optimized geometry

Unit cell a=4.9678 b=4.9678 c=4.9678 alpha=90.00 beta=90.00 gamma=90.00
Fractional positions:
Mo  0.0000  0.0000  0.0000
Au  0.0000  0.5000  0.5000
Au  0.5000  0.0000  0.5000
Au  0.5000  0.5000  0.0000
Se  0.5000  0.5000  0.5000

## Properties
As for the space group: Pm-3m (221). The size of the total moment is 4.20 Bohr magnetons per cell.

=====

It is i that is the least stable of them.

=====

--- i ---
Material: SiMoAu3
Method: DFT, PBE
State: optimized geometry

Unit cell a=5.0289 b=5.0289 c=5.0289 alpha=90.00 beta=90.00 gamma=90.00
Fractional positions:
Si  0.0000  0.0000  0.0000
Mo  0.5000  0.5000  0.5000
Au  0.0000  0.5000  0.5000
Au  0.5000  0.0000  0.5000
Au  0.5000  0.5000  0.0000

## Properties
As for the space group: Pm-3m (221). The size of the total moment is 0.00 Bohr magnetons per cell.

=====

--- ii ---
Material: SiMoAu3
Method: DFT, PBE
State: optimized geometry

Unit cell a=4.7270 b=4.7270 c=4.7270 alpha=90.00 beta=90.00 gamma=90.00
Fractional positions:
Si  0.0000  0.0000  0.0000
Mo  0.5000  0.5000  0.5000
Au  0.0000  0.0000  0.5000
Au  0.0000  0.5000  0.0000
Au  0.5000  0.0000  0.0000

## Properties
As for the space group: Pm-3m (221). The size of the total moment is 4.12 Bohr magnetons per cell.

=====

It is i that is the least stable of them.

=====

--- i ---
Material: SiMo3Au
Method: DFT, PBE
State: optimized geometry

Unit cell a=4.4844 b=4.4844 c=4.4844 alpha=90.00 beta=90.00 gamma=90.00
Fractional positions:
Si  0.0000  0.0000  0.0000
Mo  0.0000  0.0000  0.5000
Mo  0.0000  0.5000  0.0000
Mo  0.5000  0.0000  0.0000
Au  0.5000  0.5000  0.5000

## Properties
As for the space group: Pm-3m (221). The size of the total moment is 0.00 Bohr magnetons per cell.

=====

--- ii ---
Material: SiMo3Au
Method: DFT, PBE
State: optimized geometry

Unit cell a=4.8480 b=4.8480 c=4.8480 alpha=90.00 beta=90.00 gamma=90.00
Fractional positions:
Si  0.0000  0.0000  0.0000
Mo  0.0000  0.5000  0.5000
Mo  0.5000  0.0000  0.5000
Mo  0.5000  0.5000  0.0000
Au  0.5000  0.5000  0.5000

## Properties
As for the space group: Pm-3m (221). The size of the total moment is 1.81 Bohr magnetons per cell.

=====

It is ii that is the least stable of them.

=====

--- i ---
Material: Si3MoAu
Method: DFT, PBE
State: optimized geometry

Unit cell a=4.7276 b=4.7276 c=4.7276 alpha=90.00 beta=90.00 gamma=90.00
Fractional positions:
Si  0.0000  0.0000  0.5000
Si  0.0000  0.5000  0.0000
Si  0.5000  0.0000  0.0000
Mo  0.0000  0.0000  0.0000
Au  0.5000  0.5000  0.5000

## Properties
As for the space group: Pm-3m (221). The size of the total moment is 0.00 Bohr magnetons per cell.

=====

--- ii ---
Material: Si3MoAu
Method: DFT, PBE
State: optimized geometry

Unit cell a=4.7959 b=4.7959 c=4.7959 alpha=90.00 beta=90.00 gamma=90.00
Fractional positions:
Si  0.0000  0.0000  0.5000
Si  0.0000  0.5000  0.0000
Si  0.5000  0.0000  0.0000
Mo  0.5000  0.5000  0.5000
Au  0.0000  0.0000  0.0000

## Properties
As for the space group: Pm-3m (221). The size of the total moment is 3.49 Bohr magnetons per cell.

=====

It is ii that is the least stable of them.